No. 1
First-principles (PBE) data for Ac2SbTe after structural relaxation, as listed in Alexandria via LeMat-Bulk.

Geometry as POSCAR:
```
Ac2SbTe
1.0
-2.9270 -2.2717 2.8310
1.4231 -3.8396 2.2303
2.0458 2.5966 8.0389
Ac Sb Te
2 1 1
direct
0.0775 0.0775 0.7675
0.2559 0.2559 0.2324
0.6677 0.6677 0.9969
0.4990 0.4990 0.5031
```

Summary:
Offset from the most stable computed form ... 28 kJ/mol of formula units
N(E_F) ... 0.81 states/eV/atom
SG ... R3m


No. 2
First-principles (PBE) data for YThAl2 after structural relaxation, as listed in Alexandria via LeMat-Bulk.

Geometry as POSCAR:
```
YThAl2
1.0
4.2016 0.0000 -1.5283
0.0000 4.1788 0.0000
-0.1741 0.0000 6.0384
Y Th Al
1 1 2
direct
0.4426 0.5000 0.4238
0.7245 0.0000 0.9888
0.1539 0.5000 0.8470
0.0100 0.0000 0.5584
```

Summary:
Offset from the most stable computed form ... 0 kJ/mol of formula units
N(E_F) ... 0.95 states/eV/atom
SG ... Pm
Formation energy from the elements ... -0.362 eV per atom


No. 3
First-principles (PBE) data for MnVRu3 after structural relaxation, as listed in Alexandria via LeMat-Bulk.

Geometry as POSCAR:
```
MnVRu3
1.0
4.3751 0.0000 0.0000
0.0000 4.3751 0.0000
0.0000 0.0000 4.3751
Ru Mn V
3 1 1
direct
0.0000 0.5000 0.0000
0.0000 0.0000 0.5000
0.5000 0.0000 0.0000
0.0000 0.0000 0.0000
0.5000 0.5000 0.5000
```

Summary:
Offset from the most stable computed form ... 563 kJ/mol of formula units
N(E_F) ... 1.65 states/eV/atom
SG ... Pm-3m
Formation energy from the elements ... 1.192 eV per atom


No. 4
First-principles (PBE) data for LaPa2CrN5 after structural relaxation, as listed in Alexandria via LeMat-Bulk.

Geometry as POSCAR:
```
LaPa2CrN5
1.0
6.5962 0.0000 0.0000
0.0000 6.5962 0.0000
-3.2981 -3.2981 5.6363
La Pa Cr N
2 4 2 10
direct
0.2500 0.2500 0.5000
0.7500 0.7500 0.5000
0.1754 0.3246 0.0000
0.6754 0.1754 0.0000
0.3246 0.8246 0.0000
0.8246 0.6754 0.0000
0.2500 0.7500 0.5000
0.7500 0.2500 0.5000
0.9911 0.4911 0.2737
0.7174 0.2174 0.7263
0.0089 0.5089 0.7263
0.2174 0.0089 0.7263
0.5089 0.7174 0.7263
0.7826 0.9911 0.2737
0.4911 0.2826 0.2737
0.2826 0.7826 0.2737
0.5000 0.5000 0.0000
0.0000 0.0000 0.0000
```

Summary:
E ... -174.7 eV for the cell shown
N(E_F) ... 0.64 states/eV/atom
SG ... I4/mcm


> Look up the N(E_F) of the first one.

0.81 states/eV/atom


> What is the N(E_F) in the fourth record?

0.64 states/eV/atom